Record 1
# HfZn2Sn

A relaxed structure of HfZn2Sn (PBE, the Open Quantum Materials Database).

Lattice parameters (Å, degrees): 4.187 4.187 4.154 90.00 90.00 90.00
Space group P4/mmm (No. 123)
Inequivalent atoms, fractional coordinates:
Hf: 0.000 0.000 0.000
Zn: 0.000 0.500 0.500
Sn: 0.500 0.500 0.000

## Properties
VASP energy	-4.33	eV/atom

***

Record 2
# Hf2ZnSn

A relaxed structure of Hf2ZnSn (PBE, the Open Quantum Materials Database).

Lattice parameters (Å, degrees): 6.910 6.910 6.910 90.00 90.00 90.00
Space group F-43m (No. 216)
Inequivalent atoms, fractional coordinates:
Hf: 0.000 0.000 0.000
Hf: 0.250 0.250 0.250
Zn: 0.250 0.250 0.750
Sn: 0.000 0.000 0.500

## Properties
VASP energy	-6.01	eV/atom

***

Record 3
# HfZr2Sn

A relaxed structure of HfZr2Sn (PBE, the Open Quantum Materials Database).

Lattice parameters (Å, degrees): 7.059 7.059 7.059 90.00 90.00 90.00
Space group F-43m (No. 216)
Inequivalent atoms, fractional coordinates:
Hf: 0.000 0.000 0.000
Zr: 0.000 0.000 0.500
Zr: 0.250 0.250 0.250
Sn: 0.250 0.250 0.750

## Properties
VASP energy	-7.92	eV/atom

***

Record 4
# HfZrSn4

A relaxed structure of HfZrSn4 (PBE, the Open Quantum Materials Database).

Lattice parameters (Å, degrees): 4.215 4.171 15.783 90.00 90.00 90.00
Space group Amm2 (No. 38)
Inequivalent atoms, fractional coordinates:
Hf: 0.000 0.000 0.000
Zr: 0.500 0.000 0.794
Sn: 0.000 0.000 0.331
Sn: 0.000 0.000 0.647
Sn: 0.500 0.000 0.147
Sn: 0.500 0.000 0.465

## Properties
VASP energy	-6.06	eV/atom

***

Record 5
# HfZrSn2

A relaxed structure of HfZrSn2 (PBE, the Open Quantum Materials Database).

Lattice parameters (Å, degrees): 7.180 7.180 7.180 90.00 90.00 90.00
Space group F-43m (No. 216)
Inequivalent atoms, fractional coordinates:
Hf: 0.000 0.000 0.000
Zr: 0.250 0.250 0.250
Sn: 0.000 0.000 0.500
Sn: 0.250 0.250 0.750

## Properties
VASP energy	-6.48	eV/atom

***

Record 6
# Hf2ZrSn2

A relaxed structure of Hf2ZrSn2 (PBE, the Open Quantum Materials Database).

Lattice parameters (Å, degrees): 5.834 5.851 13.691 90.00 90.00 90.00
Space group Fmmm (No. 69)
Inequivalent atoms, fractional coordinates:
Hf: 0.250 0.250 0.250
Zr: 0.000 0.000 0.000
Sn: 0.000 0.000 0.401

## Properties
VASP energy	-7.41	eV/atom

***

Record 7
# SrHf2

A relaxed structure of SrHf2 (PBE, the Open Quantum Materials Database).

Lattice parameters (Å, degrees): 3.248 3.248 16.214 90.00 90.00 90.00
Space group I4/mmm (No. 139)
Inequivalent atoms, fractional coordinates:
Sr: 0.000 0.000 0.000
Hf: 0.000 0.000 0.311

## Properties
ΔE to the lowest computed polymorph	0	meV/atom
VASP energy	-6.86	eV/atom

***

Record 8
# SrHf5

A relaxed structure of SrHf5 (PBE, the Open Quantum Materials Database).

Lattice parameters (Å, degrees): 5.7589 5.7589 5.1778 90.00 90.00 120.00
Space group P-62m (No. 189)
Inequivalent atoms, fractional coordinates:
Sr: 0.0000 0.0000 0.0000
Hf: 0.0000 0.6191 0.5000
Hf: 0.3333 0.6667 0.0000

## Properties
VASP energy	-8.26	eV/atom

***

Table of spin magnetization (μB/f.u.), in record order: 0.0, 0.1, 0.8, 0.0, 0.5, 0.0, 0.0, 0.0